AgTeW: optimized geometry, PBE-GGA.

Cell and atoms, written as POSCAR:
```
AgTeW
1.0
4.542 0.000 0.000
2.271 3.934 0.000
2.271 1.311 3.709
Ag Te W
1 1 1
Cartesian
0.000 0.000 0.000
4.542 2.622 1.854
2.271 1.311 0.927
```

Summary:
* final energy: -16.327 eV/f.u.
* ΔE_f (raw): 0.873 eV/atom
* E above lowest polymorph: 0.260 eV per atom
* total moment: 0.72 μB/f.u.
* symmetry: F-43m
* mass density: 10508 kg/m3

=====

AgTe2W: optimized geometry, PBE-GGA.

Cell and atoms, written as POSCAR:
```
AgTe2W
1.0
3.351 0.000 0.000
0.000 3.351 0.000
0.000 0.000 7.756
Ag Te W
1 2 1
Cartesian
1.675 1.675 5.817
0.000 0.000 3.595
0.000 0.000 0.283
1.675 1.675 1.939
```

Summary:
* final energy: -20.565 eV/f.u.
* ΔE_f (raw): 0.381 eV/atom
* E above lowest polymorph: 0.090 eV per atom
* total moment: 0.00 μB/f.u.
* symmetry: P4/mmm
* mass density: 10429 kg/m3

=====

AgTe2W: optimized geometry, PBE-GGA.

Cell and atoms, written as POSCAR:
```
AgTe2W
1.0
3.063 0.023 0.000
-0.998 2.896 0.000
0.000 0.000 10.492
Te W Ag
2 1 1
Cartesian
0.000 0.000 10.106
1.032 1.459 3.243
0.000 0.000 5.328
1.032 1.459 7.554
```

Summary:
* final energy: -19.798 eV/f.u.
* ΔE_f (raw): 0.572 eV/atom
* E above lowest polymorph: 0.282 eV per atom
* total moment: 0.00 μB/f.u.
* symmetry: Cmm2
* mass density: 9733 kg/m3

=====

Ag2TeW: optimized geometry, PBE-GGA.

Cell and atoms, written as POSCAR:
```
Ag2TeW
1.0
3.317 0.000 0.000
0.000 3.317 0.000
0.000 0.000 7.023
Ag W Te
2 1 1
Cartesian
1.658 1.658 1.532
0.000 0.000 6.989
1.658 1.658 5.282
0.000 0.000 3.756
```

Summary:
* final energy: -19.879 eV/f.u.
* ΔE_f (raw): 0.480 eV/atom
* total moment: 0.00 μB/f.u.
* symmetry: P4mm
* mass density: 11329 kg/m3